Record 1
DFT (GGA-PBE) results for a relaxed TiNbNiIr crystal.

```
TiNbNiIr
1.0
-1.645 -4.080 -0.353
0.892 -3.014 3.097
-3.178 -1.344 2.752
Ni Ti Ir Nb
1 1 1 1
Cartesian
-1.965 -4.219 2.748
-0.983 -2.110 1.374
0.000 0.000 0.000
-2.948 -6.329 4.122
```

Summary:
* formation enthalpy at 0 K: -38 kJ per mole of atoms
* density of states at the Fermi level: 4.93 states/eV/cell
* spin magnetization: 0.0 μB per formula unit
* symmetry: F-43m
* calculated total energy: -8.54 eV per atom

---

Record 2
DFT (GGA-PBE) results for a relaxed TmNbNiIr crystal.

```
TmNbNiIr
1.0
4.602 0.000 0.000
2.301 3.986 0.000
2.301 1.329 3.758
Tm Ni Ir Nb
1 1 1 1
Cartesian
6.903 3.986 2.818
0.000 0.000 0.000
4.602 2.657 1.879
2.301 1.329 0.939
```

Summary:
* formation enthalpy at 0 K: -35 kJ per mole of atoms
* density of states at the Fermi level: 4.71 states/eV/cell
* spin magnetization: 0.0 μB per formula unit
* symmetry: F-43m
* calculated total energy: -7.66 eV per atom

---

Record 3
DFT (GGA-PBE) results for a relaxed ZrNbNiIr crystal.

```
ZrNbNiIr
1.0
4.548 0.000 0.000
2.274 3.939 0.000
2.274 1.313 3.714
Zr Ir Ni Nb
1 1 1 1
Cartesian
4.548 2.626 1.857
2.274 1.313 0.928
6.823 3.939 2.785
0.000 0.000 0.000
```

Summary:
* formation enthalpy at 0 K: -35 kJ per mole of atoms
* density of states at the Fermi level: 4.32 states/eV/cell
* spin magnetization: 0.0 μB per formula unit
* symmetry: F-43m
* calculated total energy: -8.68 eV per atom

---

Record 4
DFT (GGA-PBE) results for a relaxed NpNbIr2 crystal.

```
NpNbIr2
1.0
-0.872 -2.621 1.033
1.588 -1.351 -2.086
6.331 -0.165 4.925
Ir Nb Np
2 1 1
Cartesian
1.460 -0.038 1.136
4.871 -0.127 3.789
0.358 -1.986 -0.526
3.523 -2.068 1.936
```

Summary:
* formation enthalpy at 0 K: -32 kJ per mole of atoms
* density of states at the Fermi level: 6.57 states/eV/cell
* spin magnetization: 3.2 μB per formula unit
* distance to the lowest polymorph of the same formula: 0 kJ/mol of formula units
* symmetry: P4/mmm
* calculated total energy: -10.52 eV per atom

---

density of states at the Fermi level of number 1 (TiNbNiIr)?
4.93 states/eV/cell